A plane-wave DFT calculation with PBE-GGA was carried out for crystalline Ca2P4Rh5 at its relaxed geometry.

Cell: 5.4934 9.8289 13.9323 Å, 90.00 90.00 90.00°
Space group Fmmm (No. 69)
One atom of each set of equivalent atoms:
Ca 0.0000 0.0000 0.1320 [8 per cell]
P 0.0000 0.1616 0.3728 [16 per cell]
Rh 0.0000 0.0000 0.5000 [4 per cell]
Rh 0.2500 0.2500 0.0000 [8 per cell]
Rh 0.2500 0.2500 0.2500 [8 per cell]

V	752	Å³ per cell
total energy	-6.50	eV/atom